Entry 1:
A plane-wave DFT calculation with PBE was carried out for an optimized crystal structure of Sm5Ho4Tl.

Values from the calculation:
Polymorph energy (0 for the lowest one), meV/atom: 138
Density of states at the Fermi level, states/eV per cell: 14.1
Symmetry: I4mm (107)
Energy relative to the elements, kJ/mol of formula units: 157

Unit cell a=5.9128 b=8.0791 c=8.0791 alpha=82.30 beta=68.53 gamma=68.53
Sites, in units of the cell vectors:
Sm 0.7637 0.0000 0.3743
Ho 0.7836 0.6808 0.6807
Sm 0.7637 0.3743 0.0000
Sm 0.1380 0.0000 0.6257
Tl 0.1853 0.0000 0.0000
Ho 0.4643 0.3193 0.6808
Ho 0.4643 0.6807 0.3192
Sm 0.1380 0.6257 0.0000
Ho 0.1451 0.3192 0.3193
Sm 0.6644 0.0000 0.0000

---

Entry 2:
A plane-wave DFT calculation with PBE was carried out for an optimized crystal structure of SmHoTl3.

Values from the calculation:
Density of states at the Fermi level, states/eV per cell: 7.3
Symmetry: P6_3/mmc (194)
Energy relative to the elements, kJ/mol of formula units: -43

Unit cell a=6.4665 b=7.3947 c=7.3947 alpha=120.00 beta=90.00 gamma=90.00
Sites, in units of the cell vectors:
Tl 0.2500 0.3981 0.1992
Sm 0.2500 0.3335 0.6665
Ho 0.5000 0.0000 0.0000
Ho 0.0000 0.0000 0.0000
Tl 0.7500 0.1991 0.8009
Tl 0.7500 0.1992 0.3981
Tl 0.2500 0.8008 0.6019
Tl 0.2500 0.8009 0.1991
Tl 0.7500 0.6019 0.8008
Sm 0.7500 0.6665 0.3335

---

Entry 3:
A plane-wave DFT calculation with PBE was carried out for an optimized crystal structure of Sm3Ho2Tl3.

Values from the calculation:
Density of states at the Fermi level, states/eV per cell: 8.0
Symmetry: Immm (71)
Energy relative to the elements, kJ/mol of formula units: -204

Unit cell a=4.4143 b=5.0355 c=11.0476 alpha=103.17 beta=101.52 gamma=90.00
Site moments in Bohr magnetons follow the coordinates.
Sites, in units of the cell vectors:
Sm 0.5000 0.0000 0.0000  0.13
Ho 0.7371 0.2371 0.4742  0.01
Tl 0.1292 0.1292 0.2584  0.00
Ho 0.2629 0.7629 0.5258  0.01
Tl 0.8708 0.8708 0.7416  0.00
Sm 0.6198 0.6198 0.2397  0.07
Sm 0.3802 0.3802 0.7603  0.07
Tl 0.0000 0.5000 0.0000  0.00

---

Entry 4:
A plane-wave DFT calculation with PBE was carried out for an optimized crystal structure of Sm3Ho2Tl2.

Values from the calculation:
Polymorph energy (0 for the lowest one), meV/atom: 97
Density of states at the Fermi level, states/eV per cell: 7.0
Symmetry: Cmmm (65)
Energy relative to the elements, kJ/mol of formula units: -66

Unit cell a=5.0062 b=3.5436 c=12.1411 alpha=90.00 beta=78.10 gamma=90.00
Site moments in Bohr magnetons follow the coordinates.
Sites, in units of the cell vectors:
Ho 0.7135 0.5000 0.5730  -0.01
Tl 0.4271 0.5000 0.1459  0.00
Ho 0.2865 0.5000 0.4270  -0.01
Sm 0.0000 0.0000 0.0000  0.17
Sm 0.8545 0.0000 0.2909  0.04
Sm 0.1455 0.0000 0.7091  0.04
Tl 0.5729 0.5000 0.8541  0.00